# AlCo2O4

AlCo2O4 after structural relaxation (GGA+U, Alexandria via LeMat-Bulk).

a b c (Å): 5.833 5.833 5.833
angles (deg): 60.00 60.00 60.00
Site moments in Bohr magnetons follow the coordinates.
Fractional coordinates of all 14 atoms:
Al1 0.250 0.250 0.250  0.02
Al2 0.000 0.000 0.000  0.02
Co1 0.125 0.625 0.625  2.93
Co2 0.625 0.625 0.625  2.93
Co3 0.625 0.625 0.125  2.93
Co4 0.625 0.125 0.625  2.93
O1 0.376 0.376 0.871  0.23
O2 0.874 0.379 0.874  0.23
O3 0.379 0.874 0.874  0.23
O4 0.874 0.874 0.874  0.23
O5 0.376 0.871 0.376  0.23
O6 0.874 0.874 0.379  0.23
O7 0.871 0.376 0.376  0.23
O8 0.376 0.376 0.376  0.23

Summary:
- Spin magnetization: 1.00 μB/atom
- Raw total energy: -90.62 eV for the cell shown
- Excess energy over the best structure of this formula in the dataset: 59 meV/atom
- V: 140 Å³/cell